Here is a relaxed ZrCd2W crystal from Alexandria via LeMat-Bulk. Energies are from PBE-GGA.

Results
The formation energy comes out at 0.326 eV per atom. For the density of states at the Fermi level, the calculation gives 0.510 states/eV/atom. As for the energy above the lowest structure with this stoichiometry: 136 meV per atom. As for the symmetry: Pmm2.

Cell: 2.942 4.329 6.280 Å, 90.00 90.00 90.00°
Fractional coordinates of all 4 atoms:
Cd (0.500, 0.500, 0.252)
Cd (0.000, 0.000, 0.009)
W (0.000, 0.000, 0.509)
Zr (0.500, 0.500, 0.730)



Here is a relaxed ZrCd2W crystal from Alexandria via LeMat-Bulk. Energies are from PBE-GGA.

Results
The formation energy comes out at 0.238 eV per atom. For the density of states at the Fermi level, the calculation gives 0.381 states/eV/atom. As for the energy above the lowest structure with this stoichiometry: 48 meV per atom. As for the symmetry: P4mm.

Cell: 2.896 2.896 9.433 Å, 90.00 90.00 90.00°
Fractional coordinates of all 4 atoms:
Cd (0.500, 0.500, 0.260)
Cd (0.000, 0.000, 0.004)
W (0.000, 0.000, 0.497)
Zr (0.500, 0.500, 0.740)



| no. | total magnetic moment (μB/cell) |
| --- | --- |
| 1 | 0.0 |
| 2 | 0.0 |